(1)
# PBEsol Zn3AgSe, relaxed
# DOS at the Fermi energy, states/eV per atom: 0.47
# Excess energy over the best structure of this formula in the dataset, eV/atom: 0.0000
data_Zn3AgSe
_chemical_formula_sum 'Zn3 Ag1 Se1'
_space_group_name_H-M_alt 'P m -3 m'
_space_group_IT_number 221
_space_group_name_Hall '-P 4 2 3'
_cell_length_a 4.775
_cell_length_b 4.775
_cell_length_c 4.775
_cell_angle_alpha 90.00
_cell_angle_beta 90.00
_cell_angle_gamma 90.00
loop_
_atom_site_label
_atom_site_type_symbol
_atom_site_fract_x
_atom_site_fract_y
_atom_site_fract_z
Zn1 Zn 0.000 0.000 0.500
Ag1 Ag 0.000 0.000 0.000
Se1 Se 0.500 0.500 0.500

---

(2)
# PBEsol ZnAg2Se, relaxed
# DOS at the Fermi energy, states/eV per atom: 0.27
# Excess energy over the best structure of this formula in the dataset, eV/atom: 0.0000
data_ZnAg2Se
_chemical_formula_sum 'Zn1 Ag2 Se1'
_space_group_name_H-M_alt 'P 4/m m m'
_space_group_IT_number 123
_space_group_name_Hall '-P 4 2'
_cell_length_a 4.049
_cell_length_b 4.049
_cell_length_c 4.150
_cell_angle_alpha 90.00
_cell_angle_beta 90.00
_cell_angle_gamma 90.00
loop_
_atom_site_label
_atom_site_type_symbol
_atom_site_fract_x
_atom_site_fract_y
_atom_site_fract_z
Zn1 Zn 0.000 0.000 0.000
Ag1 Ag 0.000 0.500 0.500
Se1 Se 0.500 0.500 0.000

---

(3)
# PBEsol ZnAg3Se, relaxed
# DOS at the Fermi energy, states/eV per atom: 0.39
data_ZnAg3Se
_chemical_formula_sum 'Zn1 Ag3 Se1'
_space_group_name_H-M_alt 'P m -3 m'
_space_group_IT_number 221
_space_group_name_Hall '-P 4 2 3'
_cell_length_a 4.728
_cell_length_b 4.728
_cell_length_c 4.728
_cell_angle_alpha 90.00
_cell_angle_beta 90.00
_cell_angle_gamma 90.00
loop_
_atom_site_label
_atom_site_type_symbol
_atom_site_fract_x
_atom_site_fract_y
_atom_site_fract_z
Zn1 Zn 0.000 0.000 0.000
Ag1 Ag 0.000 0.000 0.500
Se1 Se 0.500 0.500 0.500

---

(4)
# PBEsol ZnAg2Se, relaxed
# DOS at the Fermi energy, states/eV per atom: 0.34
# Excess energy over the best structure of this formula in the dataset, eV/atom: 0.0667
data_ZnAg2Se
_chemical_formula_sum 'Zn3 Ag6 Se3'
_space_group_name_H-M_alt 'R -3 m'
_space_group_IT_number 166
_space_group_name_Hall '-R 3 2"'
_cell_length_a 2.9456
_cell_length_b 2.9456
_cell_length_c 26.9917
_cell_angle_alpha 90.00
_cell_angle_beta 90.00
_cell_angle_gamma 120.00
loop_
_atom_site_label
_atom_site_type_symbol
_atom_site_fract_x
_atom_site_fract_y
_atom_site_fract_z
Zn1 Zn 0.0000 0.0000 0.0000
Ag1 Ag 0.0000 0.0000 0.2559
Se1 Se 0.0000 0.0000 0.5000

---

(5)
# PBEsol ZnAgSe2, relaxed
# DOS at the Fermi energy, states/eV per atom: 0.47
data_ZnAgSe2
_chemical_formula_sum 'Zn3 Ag3 Se6'
_space_group_name_H-M_alt 'R -3 m'
_space_group_IT_number 166
_space_group_name_Hall '-R 3 2"'
_cell_length_a 3.6284
_cell_length_b 3.6284
_cell_length_c 23.2680
_cell_angle_alpha 90.00
_cell_angle_beta 90.00
_cell_angle_gamma 120.00
loop_
_atom_site_label
_atom_site_type_symbol
_atom_site_fract_x
_atom_site_fract_y
_atom_site_fract_z
Zn1 Zn 0.0000 0.0000 0.0000
Ag1 Ag 0.0000 0.0000 0.5000
Se1 Se 0.0000 0.0000 0.3957

---

(6)
# PBEsol ZnAgSe2, relaxed
# DOS at the Fermi energy, states/eV per atom: 0.34
data_ZnAgSe2
_chemical_formula_sum 'Zn2 Ag2 Se4'
_space_group_name_H-M_alt 'C 1 2/m 1'
_space_group_IT_number 12
_space_group_name_Hall '-C 2y'
_cell_length_a 5.696
_cell_length_b 7.454
_cell_length_c 4.189
_cell_angle_alpha 90.00
_cell_angle_beta 118.80
_cell_angle_gamma 90.00
loop_
_atom_site_label
_atom_site_type_symbol
_atom_site_fract_x
_atom_site_fract_y
_atom_site_fract_z
Zn1 Zn 0.000 0.000 0.000
Ag1 Ag 0.000 0.500 0.000
Se1 Se 0.250 0.250 0.500

---

no.,ρ (Mg/m³),raw formation energy (meV per atom)
1,5.84,463
2,8.79,26
3,7.35,591
4,8.84,92
5,6.22,-86
6,7.06,-45